Record 1
Here is KNi2GeP after structural relaxation from Alexandria. Energies are from PBE.

Cell lengths 3.9649, 7.1111, 8.0153 Å; angles 106.28, 90.00, 90.00 degrees
Sites, in units of the cell vectors:
K 0.2500 0.0542 0.7771
K 0.7500 0.9458 0.2229
Ni 0.7500 0.4867 0.3614
Ni 0.2500 0.5133 0.6386
Ni 0.7500 0.5114 0.8892
Ni 0.2500 0.4886 0.1108
Ge 0.2500 0.6679 0.4150
Ge 0.7500 0.3321 0.5850
P 0.2500 0.6576 0.9166
P 0.7500 0.3424 0.0834

Calculated values
Formation energy from the elements in eV per formula unit: -1.570
Fermi-level density of states in states/eV per cell: 3.8

Record 2
Here is KNiGeSb2 after structural relaxation from Alexandria. Energies are from PBE.

Cell lengths 4.9529, 5.4034, 4.9529 Å; angles 90.00, 90.00, 90.00 degrees
Sites, in units of the cell vectors:
Sb 0.0000 0.0000 0.5000
Sb 0.5000 0.0000 0.0000
Ge 0.5000 0.5000 0.5000
K 0.0000 0.5000 0.0000
Ni 0.0000 0.0000 0.0000

Calculated values
Formation energy from raw total energies in eV per atom: 0.295
Fermi-level density of states in states/eV per cell: 3.7

Record 3
Here is KTaNi2Ge after structural relaxation from Alexandria. Energies are from PBE.

Cell lengths 4.2711, 5.2764, 4.2711 Å; angles 90.00, 90.00, 90.00 degrees
Sites, in units of the cell vectors:
Ni 0.0000 0.0000 0.5000
Ni 0.5000 0.0000 0.0000
Ge 0.5000 0.5000 0.5000
K 0.0000 0.0000 0.0000
Ta 0.0000 0.5000 0.0000

Calculated values
Formation energy from the elements in eV per formula unit: 11.496
Fermi-level density of states in states/eV per cell: 4.9

Record 4
Here is KV2NiGe after structural relaxation from Alexandria. Energies are from PBE.

Cell lengths 4.6946, 4.3776, 4.6946 Å; angles 90.00, 90.00, 90.00 degrees
Sites, in units of the cell vectors:
Ni 0.0000 0.5000 0.0000
Ge 0.5000 0.5000 0.5000
K 0.0000 0.0000 0.0000
V 0.0000 0.0000 0.5000
V 0.5000 0.0000 0.0000

Calculated values
Formation energy from the elements in eV per formula unit: 11.351
Fermi-level density of states in states/eV per cell: 8.1

Record 5
Here is KYNiGe2 after structural relaxation from Alexandria. Energies are from PBE.

Cell lengths 5.5824, 5.0120, 5.5824 Å; angles 90.00, 90.00, 90.00 degrees
Sites, in units of the cell vectors:
Y 0.0000 0.0000 0.0000
Ni 0.0000 0.5000 0.0000
Ge 0.0000 0.0000 0.5000
Ge 0.5000 0.0000 0.0000
K 0.5000 0.5000 0.5000

Calculated values
Formation energy from the elements in eV per formula unit: 2.754
Fermi-level density of states in states/eV per cell: 4.8

Record 6
Here is KZn2NiGe after structural relaxation from Alexandria. Energies are from PBE.

Cell lengths 4.8067, 4.8067, 4.5584 Å; angles 90.00, 90.00, 90.00 degrees
Sites, in units of the cell vectors:
K 0.5000 0.5000 0.5000
Ni 0.0000 0.0000 0.0000
Ge 0.0000 0.0000 0.5000
Zn 0.0000 0.5000 0.0000
Zn 0.5000 0.0000 0.0000

Calculated values
Formation energy from the elements in eV per formula unit: -0.129
Fermi-level density of states in states/eV per cell: 2.3

Record 7
Here is KNpGe2O8 after structural relaxation from Alexandria. Energies are from PBE.

Cell lengths 6.0372, 6.0372, 6.0372 Å; angles 106.12, 106.12, 116.41 degrees
Sites, in units of the cell vectors:
K 0.0000 0.0000 0.0000
Np 0.2500 0.7500 0.5000
Ge 0.7500 0.2500 0.5000
Ge 0.5000 0.5000 0.0000
O 0.3802 0.0470 0.3333
O 0.3424 0.5489 0.2065
O 0.3424 0.1359 0.7935
O 0.7137 0.0470 0.6667
O 0.8641 0.6576 0.2065
O 0.9530 0.2863 0.3333
O 0.9530 0.6198 0.6667
O 0.4511 0.6576 0.7935

Calculated values
Formation energy from raw total energies in eV per atom: -1.689

Record 8
Here is K3NpGe2O8 after structural relaxation from Alexandria. Energies are from PBE.

Cell lengths 5.9009, 5.9009, 7.8087 Å; angles 90.00, 90.00, 120.00 degrees
Sites, in units of the cell vectors:
K 0.3333 0.6667 0.7094
K 0.6667 0.3333 0.2906
K 0.0000 0.0000 0.0000
Np 0.0000 0.0000 0.5000
Ge 0.3333 0.6667 0.2459
Ge 0.6667 0.3333 0.7541
O 0.3333 0.6667 0.0296
O 0.6667 0.3333 0.9704
O 0.1711 0.8289 0.3407
O 0.8289 0.1711 0.6593
O 0.1711 0.3423 0.3407
O 0.8289 0.6577 0.6593
O 0.6577 0.8289 0.3407
O 0.3423 0.1711 0.6593

Calculated values
Formation energy from raw total energies in eV per atom: -2.035
Fermi-level density of states in states/eV per cell: 7.3

Record 9
Here is K2NpGeO6 after structural relaxation from Alexandria. Energies are from PBE.

Cell lengths 5.7163, 5.7163, 5.7163 Å; angles 60.00, 60.00, 90.00 degrees
Sites, in units of the cell vectors:
K 0.7500 0.2500 0.5000
K 0.2500 0.7500 0.5000
Np 0.0000 0.0000 0.0000
Ge 0.5000 0.5000 0.0000
O 0.2583 0.2583 0.4833
O 0.7417 0.7417 0.0001
O 0.2583 0.7417 0.0000
O 0.7417 0.2583 0.0000
O 0.2583 0.2583 0.0000
O 0.7417 0.7417 0.5167

Calculated values
Formation energy from raw total energies in eV per atom: -2.161

Record 10
Here is K3Np3GeS8 after structural relaxation from Alexandria. Energies are from PBE.

Cell lengths 8.0737, 8.0749, 8.7130 Å; angles 117.62, 90.00, 120.00 degrees
Sites, in units of the cell vectors:
K 0.0000 0.0000 0.0000
K 0.0000 0.5000 0.0000
K 0.5000 0.5000 0.0000
Np 0.5000 0.0000 0.5000
Np 0.5000 0.5000 0.5000
Np 0.0000 0.5000 0.5000
Ge 0.0000 0.0000 0.5000
S 0.2666 0.5332 0.2999
S 0.7334 0.4668 0.7001
S 0.7677 0.5354 0.3098
S 0.2323 0.4646 0.6902
S 0.7677 0.0421 0.3099
S 0.2323 0.9579 0.6901
S 0.2743 0.0420 0.3098
S 0.7257 0.9580 0.6902

Calculated values
Formation energy from raw total energies in eV per atom: -1.221
Fermi-level density of states in states/eV per cell: 31.4

Record 11
Here is K2NpGeS4 after structural relaxation from Alexandria. Energies are from PBE.

Cell lengths 4.0650, 7.5852, 7.0407 Å; angles 72.52, 90.00, 90.00 degrees
Sites, in units of the cell vectors:
K 0.0000 0.0000 0.0000
K 0.5000 0.0000 0.5000
Np 0.0000 0.5000 0.5000
Ge 0.5000 0.5000 0.0000
S 0.0000 0.6944 0.7581
S 0.0000 0.3056 0.2419
S 0.5000 0.6970 0.2724
S 0.5000 0.3030 0.7276

Calculated values
Formation energy from raw total energies in eV per atom: -1.064
Fermi-level density of states in states/eV per cell: 7.2

Record 12
Here is K2NpGeS5 after structural relaxation from Alexandria. Energies are from PBE.

Cell lengths 4.0291, 9.4735, 13.8174 Å; angles 90.00, 90.00, 102.28 degrees
Sites, in units of the cell vectors:
K 0.8706 0.7412 0.8301
K 0.1147 0.2294 0.6757
K 0.1294 0.2588 0.3301
K 0.8853 0.7706 0.1757
Np 0.7957 0.5913 0.5344
Np 0.2043 0.4087 0.0344
Ge 0.5616 0.1232 0.9203
Ge 0.4384 0.8768 0.4203
S 0.3360 0.6720 0.0078
S 0.6843 0.3687 0.8969
S 0.5034 0.0069 0.7859
S 0.2986 0.5973 0.6573
S 0.9496 0.8991 0.5156
S 0.6640 0.3280 0.5078
S 0.3157 0.6313 0.3969
S 0.4966 0.9931 0.2859
S 0.7014 0.4027 0.1573
S 0.0504 0.1009 0.0156

Calculated values
Formation energy from raw total energies in eV per atom: -0.981
Fermi-level density of states in states/eV per cell: 16.9

Record 13
Here is K2NpGeSe4 after structural relaxation from Alexandria. Energies are from PBE.

Cell lengths 4.2332, 7.9204, 7.3315 Å; angles 72.53, 90.00, 90.00 degrees
Sites, in units of the cell vectors:
K 0.0000 0.0000 0.0000
K 0.5000 0.0000 0.5000
Np 0.0000 0.5000 0.5000
Ge 0.5000 0.5000 0.0000
Se 0.0000 0.6966 0.7605
Se 0.0000 0.3034 0.2395
Se 0.5000 0.7001 0.2687
Se 0.5000 0.2999 0.7313

Calculated values
Formation energy from raw total energies in eV per atom: -0.983
Fermi-level density of states in states/eV per cell: 6.3

Record 14
Here is K4Np3GeSe8 after structural relaxation from Alexandria. Energies are from PBE.

Cell lengths 8.5432, 9.0579, 8.5426 Å; angles 118.14, 120.00, 90.00 degrees
Sites, in units of the cell vectors:
K 0.5000 0.0000 0.0000
K 0.5000 0.0000 0.5000
K 0.0000 0.0000 0.0000
K 0.0000 0.0000 0.5000
Np 0.5000 0.5000 0.0000
Np 0.5000 0.5000 0.5000
Np 0.0000 0.5000 0.5000
Ge 0.0000 0.5000 0.0000
Se 0.2343 0.7003 0.9663
Se 0.2342 0.7003 0.4684
Se 0.2649 0.2948 0.5298
Se 0.7320 0.7003 0.9663
Se 0.2680 0.2997 0.0337
Se 0.7351 0.7052 0.4702
Se 0.7658 0.2997 0.5316
Se 0.7657 0.2997 0.0337

Calculated values
Formation energy from raw total energies in eV per atom: -1.134
Fermi-level density of states in states/eV per cell: 26.7

Record 15
Here is KNpGeSe3 after structural relaxation from Alexandria. Energies are from PBE.

Cell lengths 4.0032, 9.1848, 10.4375 Å; angles 120.94, 90.00, 90.00 degrees
Sites, in units of the cell vectors:
K 0.7500 0.7600 0.7884
K 0.2500 0.2400 0.2116
Np 0.2500 0.7137 0.1905
Np 0.7500 0.2863 0.8095
Ge 0.2500 0.1095 0.4779
Ge 0.7500 0.8905 0.5221
Se 0.2500 0.6907 0.4688
Se 0.7500 0.9147 0.1703
Se 0.7500 0.4660 0.1303
Se 0.7500 0.3093 0.5312
Se 0.2500 0.5340 0.8697
Se 0.2500 0.0853 0.8297

Calculated values
Formation energy from raw total energies in eV per atom: -0.839
Fermi-level density of states in states/eV per cell: 21.0

Record 16
Here is KNpGeTe3 after structural relaxation from Alexandria. Energies are from PBE.

Cell lengths 4.3263, 9.8286, 10.9543 Å; angles 121.74, 90.00, 90.00 degrees
Sites, in units of the cell vectors:
K 0.7500 0.7652 0.7869
K 0.2500 0.2348 0.2131
Np 0.2500 0.7090 0.2009
Np 0.7500 0.2910 0.7991
Ge 0.2500 0.0915 0.4602
Ge 0.7500 0.9085 0.5398
Te 0.2500 0.6947 0.4780
Te 0.7500 0.9185 0.1856
Te 0.7500 0.4551 0.1324
Te 0.7500 0.3053 0.5220
Te 0.2500 0.5449 0.8676
Te 0.2500 0.0815 0.8144

Calculated values
Formation energy from raw total energies in eV per atom: -0.533
Fermi-level density of states in states/eV per cell: 21.8

Record 17
Here is KGeO2 after structural relaxation from Alexandria. Energies are from PBE.

Cell lengths 6.9590, 6.9590, 6.9590 Å; angles 30.19, 30.19, 30.19 degrees
Sites, in units of the cell vectors:
Ge 0.0000 0.0000 0.0000
K 0.5000 0.5000 0.5000
O 0.9149 0.9149 0.9149
O 0.0851 0.0851 0.0851

Calculated values
Formation energy from raw total energies in eV per atom: -1.021
Fermi-level density of states in states/eV per cell: 1.3

Record 18
Here is K4GeO4 after structural relaxation from Alexandria. Energies are from PBE.

Cell lengths 6.8648, 6.7090, 9.0977 Å; angles 72.96, 81.78, 61.13 degrees
Sites, in units of the cell vectors:
K 0.7204 0.8657 0.3626
K 0.2796 0.1343 0.6374
K 0.2779 0.5818 0.8633
K 0.7221 0.4182 0.1367
K 0.7712 0.9852 0.9475
K 0.2288 0.0148 0.0525
K 0.2291 0.7534 0.4491
K 0.7709 0.2466 0.5509
Ge 0.2556 0.3710 0.2499
Ge 0.7444 0.6290 0.7501
O 0.4390 0.3366 0.3893
O 0.5610 0.6634 0.6107
O 0.9132 0.7720 0.6651
O 0.0868 0.2280 0.3349
O 0.5589 0.7761 0.8892
O 0.4411 0.2239 0.1108
O 0.9160 0.3202 0.8354
O 0.0840 0.6798 0.1646

Calculated values
Formation energy from raw total energies in eV per atom: -1.659
Offset from the most stable computed form in eV per formula unit: 0.00
Fermi-level density of states in states/eV per cell: 0.0

Record 19
Here is KGe4O7 after structural relaxation from Alexandria. Energies are from PBE.

Cell lengths 6.4069, 5.3527, 12.2506 Å; angles 90.00, 90.00, 90.00 degrees
Sites, in units of the cell vectors:
K 0.6592 0.7083 0.5000
K 0.1592 0.2917 0.0000
Ge 0.5902 0.7121 0.8710
Ge 0.0736 0.7682 0.2264
Ge 0.5736 0.2318 0.2736
Ge 0.0902 0.2879 0.6290
Ge 0.0902 0.2879 0.3710
Ge 0.5902 0.7121 0.1290
Ge 0.0736 0.7682 0.7736
Ge 0.5736 0.2318 0.7264
O 0.8656 0.7029 0.1237
O 0.3656 0.2971 0.3763
O 0.4831 0.4074 0.8511
O 0.9831 0.5926 0.6489
O 0.9831 0.5926 0.3511
O 0.4831 0.4074 0.1489
O 0.4918 0.9088 0.7651
O 0.9918 0.0912 0.7349
O 0.9918 0.0912 0.2651
O 0.4918 0.9088 0.2349
O 0.4872 0.8164 0.0000
O 0.9872 0.1836 0.5000
O 0.8656 0.7029 0.8763
O 0.3656 0.2971 0.6237

Calculated values
Formation energy from raw total energies in eV per atom: -1.481
Fermi-level density of states in states/eV per cell: 5.7

Record 20
Here is K4GeO4 after structural relaxation from Alexandria. Energies are from PBE.

Cell lengths 5.1928, 6.4694, 6.4694 Å; angles 80.73, 66.34, 66.34 degrees
Sites, in units of the cell vectors:
K 0.8001 0.5792 0.8206
K 0.1999 0.4208 0.1794
K 0.6207 0.1794 0.5792
K 0.3793 0.8206 0.4208
Ge 0.0000 0.0000 0.0000
O 0.7868 0.2765 0.1499
O 0.2132 0.7235 0.8501
O 0.9367 0.8501 0.2765
O 0.0633 0.1499 0.7235

Calculated values
Formation energy from raw total energies in eV per atom: -1.361
Offset from the most stable computed form in eV per formula unit: 2.68

Record 21
Here is K4GeO4 after structural relaxation from Alexandria. Energies are from PBE.

Cell lengths 6.0382, 7.4195, 7.4195 Å; angles 90.00, 90.00, 90.00 degrees
Sites, in units of the cell vectors:
K 0.3805 0.2825 0.9999
K 0.8805 0.5001 0.7825
K 0.3805 0.7175 0.0001
K 0.1195 0.2175 0.5001
K 0.6195 0.9999 0.7175
K 0.1195 0.7825 0.4999
K 0.8805 0.4999 0.2175
K 0.6195 0.0001 0.2825
Ge 0.0000 0.0000 0.0000
Ge 0.5000 0.5000 0.5000
O 0.6748 0.6971 0.4999
O 0.6748 0.3029 0.5001
O 0.1748 0.9999 0.8029
O 0.8252 0.1971 0.9999
O 0.8252 0.8029 0.0001
O 0.3252 0.4999 0.3029
O 0.3252 0.5001 0.6971
O 0.1748 0.0001 0.1971

Calculated values
Formation energy from raw total energies in eV per atom: -1.626
Offset from the most stable computed form in eV per formula unit: 0.30
Fermi-level density of states in states/eV per cell: 0.0

no.,calculated total energy (eV/atom)
1,-4.851
2,-3.653
3,-3.527
4,-3.677
5,-3.965
6,-2.835
7,-6.934
8,-6.687
9,-7.112
10,-6.537
11,-5.596
12,-5.468
13,-5.195
14,-5.866
15,-5.691
16,-5.214
17,-4.929
18,-4.863
19,-6.004
20,-4.566
21,-4.830